(w)
Material: TbPm2Hg4
Method: DFT, PBE-GGA
State: relaxed

Lattice parameters (Å, degrees): 5.650 5.650 8.769 108.79 108.79 90.00
Positions (direct):
1 Hg 0.195 0.195 0.389
2 Tb 0.000 0.000 0.000
3 Pm 0.395 0.395 0.790
4 Pm 0.605 0.605 0.210
5 Hg 0.500 0.000 0.000
6 Hg 0.805 0.805 0.611
7 Hg 0.000 0.500 0.000

=====

(x)
Material: TbPm2Hg4
Method: DFT, PBE-GGA
State: relaxed

Lattice parameters (Å, degrees): 5.161 5.161 9.388 74.05 74.05 60.00
Positions (direct):
1 Pm 0.244 0.244 0.268
2 Hg 0.628 0.628 0.116
3 Tb 0.000 0.000 0.000
4 Hg 0.126 0.126 0.621
5 Hg 0.874 0.874 0.379
6 Pm 0.756 0.756 0.732
7 Hg 0.372 0.372 0.884

=====

Short version: (x), (w), most stable first.

=====

(w)
Material: TbPmTmHg
Method: DFT, PBE-GGA
State: relaxed

Lattice parameters (Å, degrees): 5.419 5.419 5.419 60.00 60.00 60.00
Each line ends with the local moment (μB).
Positions (direct):
1 Tm 0.500 0.500 0.500  0.19
2 Hg 0.250 0.250 0.250  0.00
3 Tb 0.000 0.000 0.000  0.17
4 Pm 0.750 0.750 0.750  0.24

=====

(x)
Material: TbPmTmHg
Method: DFT, PBE-GGA
State: relaxed

Lattice parameters (Å, degrees): 3.618 3.618 8.903 90.00 90.00 90.00
Positions (direct):
1 Tb 0.500 0.500 0.791
2 Pm 0.000 0.000 0.075
3 Hg 0.000 0.000 0.565
4 Tm 0.500 0.500 0.355

=====

Short version: (x), (w), most stable first.

=====

(w)
Material: TbPmYHg
Method: DFT, PBE-GGA
State: relaxed

Lattice parameters (Å, degrees): 3.650 3.650 8.917 90.00 90.00 90.00
Positions (direct):
1 Y 0.500 0.500 0.789
2 Pm 0.000 0.000 0.072
3 Hg 0.000 0.000 0.571
4 Tb 0.500 0.500 0.353

=====

(x)
Material: TbPmYHg
Method: DFT, PBE-GGA
State: relaxed

Lattice parameters (Å, degrees): 5.451 5.451 5.451 60.00 60.00 60.00
Each line ends with the local moment (μB).
Positions (direct):
1 Pm 0.250 0.250 0.250  0.24
2 Tb 0.000 0.000 0.000  0.17
3 Hg 0.750 0.750 0.750  -0.01
4 Y 0.500 0.500 0.500  0.14

=====

Short version: (w), (x), most stable first.

=====

(w)
Material: Pm3TcHg
Method: DFT, PBE-GGA
State: relaxed

Lattice parameters (Å, degrees): 5.383 5.383 5.383 90.00 90.00 90.00
Positions (direct):
1 Pm 0.000 0.500 0.000
2 Pm 0.500 0.000 0.000
3 Hg 0.500 0.500 0.500
4 Tc 0.000 0.000 0.000
5 Pm 0.000 0.000 0.500

=====

(x)
Material: Pm3TcHg
Method: DFT, PBE-GGA
State: relaxed

Lattice parameters (Å, degrees): 4.102 8.771 8.648 114.18 90.00 90.00
Positions (direct):
1 Pm 0.250 0.948 0.790
2 Tc 0.250 0.940 0.431
3 Pm 0.750 0.652 0.417
4 Hg 0.250 0.336 0.203
5 Pm 0.750 0.052 0.210
6 Hg 0.750 0.664 0.797
7 Pm 0.250 0.348 0.583
8 Pm 0.250 0.674 0.081
9 Pm 0.750 0.326 0.919
10 Tc 0.750 0.060 0.569

=====

Short version: (x), (w), most stable first.

=====

(w)
Material: Pm2TcHg
Method: DFT, PBE-GGA
State: relaxed

Lattice parameters (Å, degrees): 3.582 3.582 7.710 90.00 90.00 90.00
Positions (direct):
1 Pm 0.000 0.000 0.782
2 Hg 0.500 0.500 0.500
3 Pm 0.000 0.000 0.218
4 Tc 0.500 0.500 0.000

=====

(x)
Material: Pm2TcHg
Method: DFT, PBE-GGA
State: relaxed

Lattice parameters (Å, degrees): 3.295 3.295 11.005 81.39 81.39 60.00
Each line ends with the local moment (μB).
Positions (direct):
1 Tc 0.000 0.000 0.000  0.76
2 Hg 0.500 0.500 0.500  0.00
3 Pm 0.081 0.081 0.756  -0.02
4 Pm 0.919 0.919 0.244  -0.02

=====

(y)
Material: Pm2TcHg
Method: DFT, PBE-GGA
State: relaxed

Lattice parameters (Å, degrees): 5.164 5.164 5.164 60.00 60.00 60.00
Positions (direct):
1 Pm 0.750 0.750 0.750
2 Pm 0.250 0.250 0.250
3 Hg 0.000 0.000 0.000
4 Tc 0.500 0.500 0.500

=====

Short version: (w), (y), (x), most stable first.

=====

(w)
Material: PmHg2Te
Method: DFT, PBE-GGA
State: relaxed

Lattice parameters (Å, degrees): 3.515 3.515 11.764 81.41 81.41 60.00
Positions (direct):
1 Hg 0.089 0.089 0.733
2 Pm 0.000 0.000 0.000
3 Te 0.500 0.500 0.500
4 Hg 0.911 0.911 0.267

=====

(x)
Material: PmHg2Te
Method: DFT, PBE-GGA
State: relaxed

Lattice parameters (Å, degrees): 5.456 4.505 4.505 90.00 90.00 90.00
Positions (direct):
1 Pm 0.500 0.000 0.000
2 Hg 0.000 0.500 0.000
3 Hg 0.000 0.000 0.500
4 Te 0.500 0.500 0.500

=====

Short version: (x), (w), most stable first.

=====

(w)
Material: PmHgTe2
Method: DFT, PBE-GGA
State: relaxed

Lattice parameters (Å, degrees): 4.046 5.283 5.283 90.00 90.00 90.00
Positions (direct):
1 Te 0.000 0.500 0.000
2 Te 0.000 0.000 0.500
3 Pm 0.500 0.000 0.000
4 Hg 0.500 0.500 0.500

=====

(x)
Material: PmHgTe2
Method: DFT, PBE-GGA
State: relaxed

Lattice parameters (Å, degrees): 4.501 4.501 8.234 74.14 74.14 60.00
Positions (direct):
1 Hg 0.500 0.500 0.501
2 Te 0.257 0.257 0.228
3 Pm 0.666 0.666 0.003
4 Te 0.078 0.078 0.767

=====

(y)
Material: PmHgTe2
Method: DFT, PBE-GGA
State: relaxed

Lattice parameters (Å, degrees): 4.081 4.081 7.051 90.00 90.00 90.00
Positions (direct):
1 Pm 0.500 0.500 0.000
2 Te 0.000 0.000 0.229
3 Hg 0.500 0.500 0.500
4 Te 0.000 0.000 0.771

=====

Short version: (y), (x), (w), most stable first.

=====

(w)
Material: Pm5HgTe4
Method: DFT, PBE-GGA
State: relaxed

Lattice parameters (Å, degrees): 4.454 4.454 16.106 97.95 97.95 90.00
Positions (direct):
1 Te 0.600 0.600 0.199
2 Pm 0.302 0.302 0.604
3 Pm 0.500 0.500 0.000
4 Pm 0.100 0.100 0.199
5 Hg 0.000 0.000 0.000
6 Te 0.400 0.400 0.801
7 Te 0.200 0.200 0.400
8 Pm 0.900 0.900 0.801
9 Te 0.800 0.800 0.600
10 Pm 0.698 0.698 0.396

=====

(x)
Material: Pm5HgTe4
Method: DFT, PBE-GGA
State: relaxed

Lattice parameters (Å, degrees): 6.311 7.722 7.722 80.39 65.88 65.88
Positions (direct):
1 Te 0.404 0.399 0.794
2 Pm 0.501 0.000 0.000
3 Pm 0.707 0.195 0.394
4 Pm 0.100 0.606 0.195
5 Pm 0.902 0.394 0.805
6 Te 0.598 0.601 0.206
7 Te 0.803 0.794 0.601
8 Hg 0.001 0.000 0.000
9 Te 0.199 0.206 0.399
10 Pm 0.295 0.805 0.606

=====

Short version: (x), (w), most stable first.

=====

(w)
Material: Pm4TlHg3
Method: DFT, PBE-GGA
State: relaxed

Lattice parameters (Å, degrees): 3.803 3.803 15.570 90.00 90.00 90.00
Each line ends with the local moment (μB).
Positions (direct):
1 Pm 0.000 0.000 0.623  0.23
2 Hg 0.500 0.500 0.500  0.02
3 Tl 0.500 0.500 0.000  0.01
4 Hg 0.500 0.500 0.746  0.03
5 Pm 0.000 0.000 0.377  0.23
6 Pm 0.000 0.000 0.868  0.19
7 Pm 0.000 0.000 0.132  0.19
8 Hg 0.500 0.500 0.254  0.03

=====

(x)
Material: Pm4TlHg3
Method: DFT, PBE-GGA
State: relaxed

Lattice parameters (Å, degrees): 3.877 4.955 12.047 90.00 90.00 90.00
Positions (direct):
1 Pm 0.000 0.000 0.149
2 Pm 0.500 0.000 0.646
3 Hg 0.500 0.000 0.915
4 Pm 0.500 0.500 0.359
5 Hg 0.000 0.500 0.583
6 Hg 0.000 0.000 0.417
7 Tl 0.500 0.500 0.083
8 Pm 0.000 0.500 0.849

=====

Short version: (w), (x), most stable first.

=====

(w)
Material: PmTlHg
Method: DFT, PBE-GGA
State: relaxed

Lattice parameters (Å, degrees): 5.339 5.339 6.589 90.00 90.00 119.99
Positions (direct):
1 Pm 0.667 0.833 0.750
2 Hg 0.667 0.833 0.250
3 Tl 0.000 0.500 0.500
4 Hg 0.333 0.167 0.750
5 Tl 0.000 0.500 0.000
6 Pm 0.333 0.167 0.250

=====

(x)
Material: PmTlHg
Method: DFT, PBE-GGA
State: relaxed

Lattice parameters (Å, degrees): 5.002 5.002 5.002 60.00 60.00 60.00
Positions (direct):
1 Hg 0.250 0.250 0.250
2 Tl 0.500 0.500 0.500
3 Pm 0.000 0.000 0.000

=====

(y)
Material: PmTlHg
Method: DFT, PBE-GGA
State: relaxed

Lattice parameters (Å, degrees): 3.730 3.730 6.489 106.70 106.70 90.00
Positions (direct):
1 Tl 0.610 0.610 0.220
2 Hg 0.950 0.950 0.900
3 Pm 0.290 0.290 0.580

=====

(z)
Material: PmTlHg
Method: DFT, PBE-GGA
State: relaxed

Lattice parameters (Å, degrees): 6.622 6.622 5.222 90.00 90.00 133.71
Positions (direct):
1 Pm 0.257 0.743 0.750
2 Hg 0.088 0.912 0.250
3 Tl 0.573 0.427 0.750
4 Pm 0.743 0.257 0.250
5 Tl 0.427 0.573 0.250
6 Hg 0.912 0.088 0.750

=====

Short version: (w), (x), (y), (z), most stable first.

=====

(w)
Material: PmTl2Hg
Method: DFT, PBE-GGA
State: relaxed

Lattice parameters (Å, degrees): 4.730 4.777 4.777 90.00 90.00 90.00
Positions (direct):
1 Tl 0.000 0.000 0.500
2 Hg 0.500 0.000 0.000
3 Pm 0.500 0.500 0.500
4 Tl 0.000 0.500 0.000

=====

(x)
Material: PmTl2Hg
Method: DFT, PBE-GGA
State: relaxed

Lattice parameters (Å, degrees): 5.388 5.388 5.388 60.00 60.00 60.00
Positions (direct):
1 Tl 0.750 0.750 0.750
2 Hg 0.500 0.500 0.500
3 Pm 0.000 0.000 0.000
4 Tl 0.250 0.250 0.250

=====

(y)
Material: PmTl2Hg
Method: DFT, PBE-GGA
State: relaxed

Lattice parameters (Å, degrees): 3.537 3.537 11.749 81.34 81.34 60.00
Positions (direct):
1 Pm 0.000 0.000 0.000
2 Tl 0.093 0.093 0.722
3 Hg 0.500 0.500 0.500
4 Tl 0.907 0.907 0.278

=====

(z)
Material: PmTl2Hg
Method: DFT, PBE-GGA
State: relaxed

Lattice parameters (Å, degrees): 3.934 3.934 7.218 90.00 90.00 90.00
Positions (direct):
1 Hg 0.500 0.500 0.000
2 Pm 0.500 0.500 0.500
3 Tl 0.000 0.000 0.767
4 Tl 0.000 0.000 0.233

=====

Short version: (w), (x), (z), (y), most stable first.